A geometry-optimized K2Tb2SnO6 structure, computed with PBE.

Spin magnetization   0.00 μB/cell
Final energy   -144.33 eV per cell
Mass density   5.3 g cm⁻³

a = 5.9174 Å, b = 10.1810 Å, c = 6.6545 Å
α = 90.00°, β = 106.13°, γ = 90.00°
Closest atoms and distances in Å follow each position.
Space group C2/m (No. 12)
Symmetry-distinct sites (fractional):
K 0.0000 0.1637 0.0000 (multiplicity 4)  6 O 2.78-2.97
Tb 0.0000 0.3347 0.5000 (multiplicity 4)  6 O 2.29-2.33
Sn 0.0000 0.0000 0.5000 (multiplicity 2)  6 O 2.11-2.17
O 0.2085 0.1594 0.6739 (multiplicity 8)  1 Sn 2.17, 2 Tb 2.29-2.33
O 0.2491 0.0000 0.3259 (multiplicity 4)  1 Sn 2.11, 2 Tb 2.33

***

A geometry-optimized KTc2SnO8 structure, computed with PBE.

Spin magnetization   2.03 μB/cell
Final energy   -165.79 eV per cell
Mass density   3.4 g cm⁻³

a = 11.9239 Å, b = 7.0615 Å, c = 5.6664 Å
α = 90.00°, β = 100.06°, γ = 90.00°
Closest atoms and distances in Å follow each position.
Space group C2/m (No. 12)
Symmetry-distinct sites (fractional):
K 0.0000 0.0000 0.0000 (multiplicity 2)  6 O 2.76-2.91
Tc 0.1831 0.5000 0.1506 (multiplicity 4)  4 O 1.73-1.81
Sn 0.0000 0.5000 0.5000 (multiplicity 2)  6 O 2.32-2.35
O 0.1070 0.3161 0.2813 (multiplicity 8)  1 Tc 1.81
O 0.1483 0.5000 0.8342 (multiplicity 4)  1 Tc 1.77
O 0.1727 0.0000 0.7343 (multiplicity 4)  1 Tc 1.73

***

A geometry-optimized KTcSn2O structure, computed with PBE.

Spin magnetization   0.58 μB/cell
Final energy   -23.99 eV per cell
Mass density   5.7 g cm⁻³

a = 5.4504 Å, b = 5.4504 Å, c = 3.8533 Å
α = 90.00°, β = 90.00°, γ = 90.00°
Closest atoms and distances in Å follow each position.
Space group P4/mmm (No. 123)
Symmetry-distinct sites (fractional):
K 0.0000 0.0000 0.0000 (multiplicity 1)  8 Sn 3.34
Tc 0.5000 0.5000 0.0000 (multiplicity 1)  2 O 1.93
Sn 0.0000 0.5000 0.5000 (multiplicity 2)  2 O 2.73
O 0.5000 0.5000 0.5000 (multiplicity 1)  2 Tc 1.93

***

A geometry-optimized KSnTe2O structure, computed with PBE.

Spin magnetization   1.36 μB/cell
Final energy   -14.49 eV per cell
Mass density   2.8 g cm⁻³

a = 5.6555 Å, b = 5.6555 Å, c = 8.0100 Å
α = 90.00°, β = 90.00°, γ = 90.00°
Closest atoms and distances in Å follow each position.
Space group P4/mmm (No. 123)
Symmetry-distinct sites (fractional):
K 0.0000 0.0000 0.0000 (multiplicity 1)  4 O 4.00, 2 Sn 4.01
Sn 0.0000 0.0000 0.5000 (multiplicity 1)  4 Te 2.83
Te 0.0000 0.5000 0.5000 (multiplicity 2)  2 Sn 2.83
O 0.5000 0.5000 0.0000 (multiplicity 1)  4 K 4.00

***

A geometry-optimized KSn2TeO8 structure, computed with PBE.

Spin magnetization   0.21 μB/cell
Final energy   -65.39 eV per cell
Mass density   5.6 g cm⁻³

a = 4.6171 Å, b = 6.9745 Å, c = 4.9462 Å
α = 90.00°, β = 92.06°, γ = 90.00°
Closest atoms and distances in Å follow each position.
Space group P2/m (No. 10)
Symmetry-distinct sites (fractional):
K 0.0000 0.0000 0.0000 (multiplicity 1)  6 O 2.46-2.58
Sn 0.5000 0.2619 0.5000 (multiplicity 2)  6 O 2.06-2.19
Te 0.0000 0.5000 0.0000 (multiplicity 1)  6 O 1.93-2.04
O 0.2297 0.2981 0.1644 (multiplicity 4)  1 Te 1.93, 1 Sn 2.06
O 0.2604 0.0000 0.5470 (multiplicity 2)  2 Sn 2.15, 1 O 2.28
O 0.2607 0.5000 0.6761 (multiplicity 2)  1 Te 2.04, 2 Sn 2.19

***

A geometry-optimized K2SnTeO structure, computed with PBE.

Spin magnetization   0.00 μB/cell
Final energy   -38.97 eV per cell
Mass density   3.6 g cm⁻³

a = 7.7934 Å, b = 4.3677 Å, c = 9.6179 Å
α = 90.00°, β = 105.98°, γ = 90.00°
Closest atoms and distances in Å follow each position.
Space group P2_1/m (No. 11)
Symmetry-distinct sites (fractional):
K 0.1235 0.2500 0.4166 (multiplicity 2)  1 O 2.58
K 0.2443 0.2500 0.8600 (multiplicity 2)  2 O 2.93
Sn 0.4729 0.7500 0.6352 (multiplicity 2)  1 O 2.02
Te 0.3084 0.7500 0.1697 (multiplicity 2)  2 Sn 3.07
O 0.2207 0.7500 0.6528 (multiplicity 2)  1 Sn 2.02